[1]
Entry from Alexandria via LeMat-Bulk: an optimized crystal structure of MoSBr2 (GGA-PBEsol).

The structure in POSCAR format:
```
MoSBr2
1.0
-3.3700 0.8711 -2.8682
-4.1997 -5.5334 -0.2923
-5.2603 2.8878 3.5115
Br Mo S
4 2 2
Direct
0.8750 0.1420 0.3580
0.3750 0.8580 0.6420
0.7670 0.3580 0.8580
0.9830 0.6420 0.1420
0.7500 0.5000 0.5000
0.0000 0.0000 0.0000
0.2500 0.5000 0.5000
0.5000 0.0000 0.0000
```



[2]
Entry from Alexandria via LeMat-Bulk: an optimized crystal structure of Mo3SBr (GGA-PBEsol).

The structure in POSCAR format:
```
Mo3SBr
1.0
4.5615 0.0000 0.0000
0.0000 4.5615 0.0000
0.0000 0.0000 4.5615
S Mo Br
1 3 1
Direct
0.5000 0.5000 0.5000
0.0000 0.0000 0.5000
0.5000 0.0000 0.0000
0.0000 0.5000 0.0000
0.0000 0.0000 0.0000
```



[3]
Entry from Alexandria via LeMat-Bulk: an optimized crystal structure of MoSeSBr2 (GGA-PBEsol).

The structure in POSCAR format:
```
MoSeSBr2
1.0
-3.5137 -3.0786 1.2650
2.1769 -0.6929 4.3604
-2.5926 3.7346 1.8878
Br Se S Mo
2 1 1 1
Direct
0.0000 0.0000 0.5000
0.0000 0.5000 0.0000
0.5000 0.0000 0.0000
0.5000 0.5000 0.5000
0.0000 0.0000 0.0000
```



[4]
Entry from Alexandria via LeMat-Bulk: an optimized crystal structure of SbMoBr (GGA-PBEsol).

The structure in POSCAR format:
```
SbMoBr
1.0
-0.6366 1.7477 2.4486
-1.6775 -1.3060 2.4268
6.2814 -1.3994 4.5628
Br Sb Mo
1 1 1
Direct
0.9687 0.0000 0.0626
0.6904 0.0000 0.6192
0.3409 0.0000 0.3181
```



[5]
Entry from Alexandria via LeMat-Bulk: an optimized crystal structure of SbMo3Br (GGA-PBEsol).

The structure in POSCAR format:
```
SbMo3Br
1.0
-1.6426 -2.0490 -4.1621
4.4158 -2.0439 -0.7365
-1.4219 -3.9804 2.5207
Mo Br Sb
3 1 1
Direct
0.5000 0.0000 0.0000
0.0000 0.0000 0.5000
0.0000 0.5000 0.0000
0.5000 0.5000 0.5000
0.0000 0.0000 0.0000
```



[6]
Entry from Alexandria via LeMat-Bulk: an optimized crystal structure of SbMoBr (GGA-PBEsol).

The structure in POSCAR format:
```
SbMoBr
1.0
-4.5746 0.6093 0.0476
-2.7882 -3.5339 1.0186
-2.2931 -0.0501 4.0049
Br Sb Mo
1 1 1
Direct
0.2500 0.2500 0.2500
0.5000 0.5000 0.5000
0.0000 0.0000 0.0000
```



Short version: E_tot = -41.2 -32.3 -21.6 -17.2 -30.2 -14.0 eV/cell, in the order given.